Entry 1:
DFT (PBE-GGA) results for a relaxed structure of CuAgAs2F.

a b c (Å): 4.5237 4.5237 5.0511
angles (deg): 90.00 90.00 90.00
With the nearest neighbours (Å) after each atom.
Space group P4/mmm (No. 123)
One atom of each set of equivalent atoms:
Cu  0.0000  0.0000  0.0000 x1  4 As 2.26, 2 Ag 2.53
Ag  0.0000  0.0000  0.5000 x1  2 Cu 2.53
As  0.0000  0.5000  0.0000 x2  2 Cu 2.26
F  0.5000  0.5000  0.5000 x1  4 Ag 3.20, 8 As 3.39

Computed properties:
For the total magnetization, the calculation gives 0.00 μB/f.u. The final energy is -16.82 eV/cell. The calculation puts the density of states at the Fermi level at 0.562 states/eV/atom. As for the uncorrected formation energy: 0.259 eV per atom.

---

Entry 2:
DFT (PBE-GGA) results for a relaxed structure of ScGaN2F.

a b c (Å): 4.2187 4.2187 3.9842
angles (deg): 90.00 90.00 90.00
With the nearest neighbours (Å) after each atom.
Space group P4/mmm (No. 123)
One atom of each set of equivalent atoms:
Sc  0.0000  0.0000  0.0000 x1  2 F 1.99, 4 N 2.11
Ga  0.5000  0.5000  0.5000 x1  8 N 2.90, 4 F 2.98
N  0.0000  0.5000  0.0000 x2  2 Sc 2.11
F  0.0000  0.0000  0.5000 x1  2 Sc 1.99

Computed properties:
The value obtained for the energy above the most stable polymorph in this dataset is 294.5 meV/atom. For the total magnetization, the calculation gives 0.53 μB/f.u. The final energy is -29.55 eV/cell. The calculation puts the density of states at the Fermi level at 0.579 states/eV/atom. As for the uncorrected formation energy: -0.334 eV per atom.

---

Entry 3:
DFT (PBE-GGA) results for a relaxed structure of Li2NiAgH6.

a b c (Å): 4.5411 4.5411 5.0914
angles (deg): 90.00 90.00 120.00
With the nearest neighbours (Å) after each atom.
Space group P-3m1 (No. 164)
One atom of each set of equivalent atoms:
Li  0.3333  0.6667  0.3706 x2  9 H 2.07-2.29
Ni  0.0000  0.0000  0.5000 x1  6 H 1.58
Ag  0.0000  0.0000  0.0000 x1  6 H 2.07
H  0.1637  0.3273  0.6807 x6  1 Ni 1.58

Computed properties:
For the total magnetization, the calculation gives 0.00 μB/f.u. The final energy is -33.60 eV/cell. The calculation puts the density of states at the Fermi level at 0.129 states/eV/atom.